[1]
Below is an optimized crystal structure of Tc2AgRh, with properties calculated at the PBE level.

Computed properties:
Formation enthalpy at 0 K ... 0.379 eV per atom
Distance to the lowest polymorph of the same formula ... 256 meV per atom

Cell: 4.915 6.031 2.709 Å, 63.31 90.00 119.33°
Positions (direct):
1 Rh 0.500 0.000 0.500
2 Tc 0.000 0.000 0.000
3 Tc 0.000 0.500 0.500
4 Ag 0.500 0.500 0.000



[2]
Below is an optimized crystal structure of TcAg2Rh, with properties calculated at the PBE level.

Computed properties:
Formation enthalpy at 0 K ... 0.419 eV per atom
Distance to the lowest polymorph of the same formula ... 255 meV per atom

Cell: 5.029 5.029 4.790 Å, 81.30 81.30 31.93°
Positions (direct):
1 Rh 0.250 0.250 0.250
2 Ag 0.000 0.000 0.000
3 Ag 0.500 0.500 0.500
4 Tc 0.750 0.750 0.750



[3]
Below is an optimized crystal structure of Tc2AgRh, with properties calculated at the PBE level.

Computed properties:
Formation enthalpy at 0 K ... 0.320 eV per atom
Distance to the lowest polymorph of the same formula ... 197 meV per atom

Cell: 4.079 2.729 6.147 Å, 63.58 90.00 90.00°
Positions (direct):
1 Ag 0.500 0.250 0.250
2 Rh 0.500 0.750 0.750
3 Tc 0.000 0.032 0.969
4 Tc 0.000 0.468 0.531



[4]
Below is an optimized crystal structure of Tc2AgRh, with properties calculated at the PBE level.

Computed properties:
Formation enthalpy at 0 K ... 0.283 eV per atom
Distance to the lowest polymorph of the same formula ... 160 meV per atom

Cell: 2.679 2.679 8.420 Å, 90.00 90.00 90.00°
Positions (direct):
1 Rh 0.500 0.500 0.750
2 Tc 0.000 0.000 0.985
3 Tc 0.000 0.000 0.515
4 Ag 0.500 0.500 0.250



[5]
Below is an optimized crystal structure of TcAg2Rh, with properties calculated at the PBE level.

Computed properties:
Formation enthalpy at 0 K ... 0.480 eV per atom
Distance to the lowest polymorph of the same formula ... 315 meV per atom

Cell: 5.535 5.535 5.535 Å, 150.40 128.07 60.91°
Site moments in Bohr magnetons follow the coordinates.
Positions (direct):
1 Tc 0.268 0.768 0.500  0.35
2 Rh 0.485 0.485 0.000  0.05
3 Ag 0.742 0.242 0.500  0.01
4 Ag 0.005 0.005 0.000  0.01



[6]
Below is an optimized crystal structure of Tc2AgRh, with properties calculated at the PBE level.

Computed properties:
Formation enthalpy at 0 K ... 0.492 eV per atom
Distance to the lowest polymorph of the same formula ... 369 meV per atom

Cell: 4.421 4.421 4.421 Å, 60.00 60.00 60.00°
Site moments in Bohr magnetons follow the coordinates.
Positions (direct):
1 Rh 0.750 0.750 0.750  0.06
2 Tc 0.000 0.000 0.000  0.13
3 Tc 0.250 0.250 0.250  -0.06
4 Ag 0.500 0.500 0.500  0.00



[7]
Below is an optimized crystal structure of TcAgRh2, with properties calculated at the PBE level.

Computed properties:
Formation enthalpy at 0 K ... 0.134 eV per atom
Distance to the lowest polymorph of the same formula ... 117 meV per atom

Cell: 3.803 2.767 6.348 Å, 64.06 90.00 90.00°
Positions (direct):
1 Rh 0.000 0.981 0.018
2 Rh 0.000 0.519 0.482
3 Ag 0.500 0.750 0.750
4 Tc 0.500 0.250 0.250



[8]
Below is an optimized crystal structure of TcAgRh2, with properties calculated at the PBE level.

Computed properties:
Formation enthalpy at 0 K ... 0.017 eV per atom
Distance to the lowest polymorph of the same formula ... 0 meV per atom

Cell: 2.778 2.778 7.833 Å, 90.00 90.00 90.00°
Positions (direct):
1 Rh 0.000 0.000 0.478
2 Rh 0.000 0.000 0.022
3 Ag 0.500 0.500 0.750
4 Tc 0.500 0.500 0.250



[9]
Below is an optimized crystal structure of TcAg2Rh, with properties calculated at the PBE level.

Computed properties:
Formation enthalpy at 0 K ... 0.516 eV per atom
Distance to the lowest polymorph of the same formula ... 351 meV per atom

Cell: 5.175 5.175 5.175 Å, 136.50 136.50 63.21°
Site moments in Bohr magnetons follow the coordinates.
Positions (direct):
1 Tc 0.750 0.250 0.500  1.89
2 Ag 0.000 0.000 0.000  0.04
3 Ag 0.500 0.500 0.000  0.04
4 Rh 0.250 0.750 0.500  0.44



[10]
Below is an optimized crystal structure of TcAgRh2, with properties calculated at the PBE level.

Computed properties:
Formation enthalpy at 0 K ... 0.049 eV per atom
Distance to the lowest polymorph of the same formula ... 32 meV per atom

Cell: 9.211 9.211 9.211 Å, 17.33 17.33 17.33°
Positions (direct):
1 Rh 0.994 0.994 0.994
2 Rh 0.506 0.506 0.506
3 Ag 0.750 0.750 0.750
4 Tc 0.250 0.250 0.250



[11]
Below is an optimized crystal structure of Tc2AgRh, with properties calculated at the PBE level.

Computed properties:
Formation enthalpy at 0 K ... 0.301 eV per atom
Distance to the lowest polymorph of the same formula ... 178 meV per atom

Cell: 2.704 2.704 9.435 Å, 90.00 90.00 116.33°
Positions (direct):
1 Tc 0.000 0.000 0.002
2 Tc 0.500 0.500 0.233
3 Ag 0.000 0.000 0.502
4 Rh 0.500 0.500 0.763



[12]
Below is an optimized crystal structure of TcAgRh2, with properties calculated at the PBE level.

Computed properties:
Formation enthalpy at 0 K ... 0.365 eV per atom
Distance to the lowest polymorph of the same formula ... 347 meV per atom

Cell: 5.432 5.432 5.432 Å, 150.55 128.00 60.89°
Site moments in Bohr magnetons follow the coordinates.
Positions (direct):
1 Tc 0.750 0.250 0.500  0.38
2 Rh 0.985 0.985 0.000  0.04
3 Rh 0.515 0.515 0.000  0.04
4 Ag 0.250 0.750 0.500  0.01



[13]
Below is an optimized crystal structure of TcAgRh2, with properties calculated at the PBE level.

Computed properties:
Formation enthalpy at 0 K ... 0.273 eV per atom
Distance to the lowest polymorph of the same formula ... 256 meV per atom

Cell: 4.770 4.770 2.762 Å, 90.00 90.00 107.73°
Positions (direct):
1 Rh 0.000 0.000 0.000
2 Rh 0.500 0.500 0.000
3 Ag 0.000 0.500 0.500
4 Tc 0.500 0.000 0.500



[14]
Below is an optimized crystal structure of TcAg2Rh, with properties calculated at the PBE level.

Computed properties:
Formation enthalpy at 0 K ... 0.471 eV per atom
Distance to the lowest polymorph of the same formula ... 306 meV per atom

Cell: 2.718 2.718 9.756 Å, 90.00 90.00 116.81°
Site moments in Bohr magnetons follow the coordinates.
Positions (direct):
1 Ag 0.000 0.000 0.497  0.00
2 Ag 0.000 0.000 0.003  0.00
3 Tc 0.500 0.500 0.750  -0.01
4 Rh 0.500 0.500 0.250  0.32



[15]
Below is an optimized crystal structure of Tc2AgRh, with properties calculated at the PBE level.

Computed properties:
Formation enthalpy at 0 K ... 0.372 eV per atom
Distance to the lowest polymorph of the same formula ... 250 meV per atom

Cell: 4.766 4.766 4.766 Å, 131.13 131.13 71.61°
Positions (direct):
1 Tc 0.250 0.750 0.500
2 Tc 0.000 0.000 0.000
3 Rh 0.750 0.250 0.500
4 Ag 0.500 0.500 0.000



[16]
Below is an optimized crystal structure of Tc2AgRh2, with properties calculated at the PBE level.

Computed properties:
Formation enthalpy at 0 K ... 0.221 eV per atom
Distance to the lowest polymorph of the same formula ... 24 meV per atom

Cell: 7.599 7.599 2.710 Å, 90.00 90.00 90.00°
Positions (direct):
1 Ag 0.500 0.500 0.000
2 Ag 0.000 0.000 0.000
3 Tc 0.328 0.172 0.500
4 Tc 0.672 0.828 0.500
5 Tc 0.172 0.672 0.500
6 Tc 0.828 0.328 0.500
7 Rh 0.623 0.123 0.000
8 Rh 0.877 0.623 0.000
9 Rh 0.123 0.377 0.000
10 Rh 0.377 0.877 0.000



[17]
Below is an optimized crystal structure of TcAgRh2, with properties calculated at the PBE level.

Computed properties:
Formation enthalpy at 0 K ... 0.483 eV per atom
Distance to the lowest polymorph of the same formula ... 465 meV per atom

Cell: 2.749 4.786 4.651 Å, 90.00 90.00 90.00°
Site moments in Bohr magnetons follow the coordinates.
Positions (direct):
1 Ag 0.000 0.500 0.500  0.02
2 Rh 0.500 0.500 0.000  0.05
3 Rh 0.000 0.000 0.000  0.05
4 Tc 0.500 0.000 0.500  0.49



[18]
Below is an optimized crystal structure of Tc2Ag2Rh, with properties calculated at the PBE level.

Computed properties:
Formation enthalpy at 0 K ... 0.820 eV per atom
Distance to the lowest polymorph of the same formula ... 0 meV per atom

Cell: 3.455 3.455 7.712 Å, 77.05 77.05 90.00°
Site moments in Bohr magnetons follow the coordinates.
Positions (direct):
1 Rh 0.000 0.000 0.000  0.17
2 Tc 0.750 0.250 0.500  0.01
3 Tc 0.250 0.750 0.500  0.01
4 Ag 0.596 0.596 0.807  0.00
5 Ag 0.404 0.404 0.193  0.00



[19]
Below is an optimized crystal structure of TcAgRh2, with properties calculated at the PBE level.

Computed properties:
Formation enthalpy at 0 K ... 0.231 eV per atom
Distance to the lowest polymorph of the same formula ... 214 meV per atom

Cell: 3.983 2.731 6.189 Å, 63.84 90.00 90.00°
Positions (direct):
1 Tc 0.000 0.531 0.470
2 Rh 0.500 0.234 0.265
3 Rh 0.000 0.990 0.009
4 Ag 0.500 0.745 0.755



[20]
Below is an optimized crystal structure of Tc2AgRh, with properties calculated at the PBE level.

Computed properties:
Formation enthalpy at 0 K ... 0.411 eV per atom
Distance to the lowest polymorph of the same formula ... 289 meV per atom

Cell: 4.109 3.824 3.824 Å, 90.00 90.00 90.00°
Positions (direct):
1 Rh 0.500 0.000 0.500
2 Ag 0.500 0.500 0.000
3 Tc 0.000 0.500 0.500
4 Tc 0.000 0.000 0.000



[21]
Below is an optimized crystal structure of TcAg2Rh, with properties calculated at the PBE level.

Computed properties:
Formation enthalpy at 0 K ... 0.165 eV per atom
Distance to the lowest polymorph of the same formula ... 0 meV per atom

Cell: 2.788 2.788 8.262 Å, 90.00 90.00 90.00°
Positions (direct):
1 Tc 0.500 0.500 0.728
2 Rh 0.000 0.000 0.521
3 Ag 0.000 0.000 0.992
4 Ag 0.500 0.500 0.259



[22]
Below is an optimized crystal structure of TcAgRh2, with properties calculated at the PBE level.

Computed properties:
Formation enthalpy at 0 K ... 0.602 eV per atom
Distance to the lowest polymorph of the same formula ... 584 meV per atom

Cell: 7.051 7.051 5.689 Å, 51.70 51.70 90.00°
Positions (direct):
1 Rh 0.375 0.416 0.750
2 Rh 0.166 0.625 0.250
3 Rh 0.584 0.125 0.250
4 Rh 0.875 0.834 0.750
5 Tc 0.250 0.750 0.500
6 Tc 0.500 0.500 0.000
7 Ag 0.750 0.250 0.500
8 Ag 0.000 0.000 0.000



[23]
Below is an optimized crystal structure of TcAgRh2, with properties calculated at the PBE level.

Computed properties:
Formation enthalpy at 0 K ... 0.298 eV per atom
Distance to the lowest polymorph of the same formula ... 280 meV per atom

Cell: 4.885 4.885 4.885 Å, 133.75 133.75 67.49°
Positions (direct):
1 Ag 0.750 0.250 0.500
2 Tc 0.500 0.500 0.000
3 Rh 0.250 0.750 0.500
4 Rh 0.000 0.000 0.000



[24]
Below is an optimized crystal structure of Tc2AgRh, with properties calculated at the PBE level.

Computed properties:
Formation enthalpy at 0 K ... 0.320 eV per atom
Distance to the lowest polymorph of the same formula ... 198 meV per atom

Cell: 4.888 4.888 4.737 Å, 80.16 80.16 32.81°
Positions (direct):
1 Ag 0.250 0.250 0.250
2 Tc 0.008 0.008 0.985
3 Tc 0.492 0.492 0.515
4 Rh 0.750 0.750 0.750



[25]
Below is an optimized crystal structure of Tc2AgRh, with properties calculated at the PBE level.

Computed properties:
Formation enthalpy at 0 K ... 0.123 eV per atom
Distance to the lowest polymorph of the same formula ... 0 meV per atom

Cell: 9.324 9.324 9.324 Å, 17.07 17.07 17.07°
Positions (direct):
1 Tc 0.256 0.256 0.256
2 Tc 0.999 0.999 0.999
3 Rh 0.745 0.745 0.745
4 Ag 0.500 0.500 0.500



[26]
Below is an optimized crystal structure of TcAg2Rh, with properties calculated at the PBE level.

Computed properties:
Formation enthalpy at 0 K ... 0.475 eV per atom
Distance to the lowest polymorph of the same formula ... 310 meV per atom

Cell: 2.675 2.675 8.909 Å, 90.00 90.00 90.00°
Site moments in Bohr magnetons follow the coordinates.
Positions (direct):
1 Rh 0.500 0.500 0.250  0.39
2 Ag 0.000 0.000 0.003  0.00
3 Ag 0.000 0.000 0.497  0.00
4 Tc 0.500 0.500 0.750  0.00



[27]
Below is an optimized crystal structure of TcAgRh2, with properties calculated at the PBE level.

Computed properties:
Formation enthalpy at 0 K ... 0.316 eV per atom
Distance to the lowest polymorph of the same formula ... 299 meV per atom

Cell: 5.573 5.573 5.573 Å, 151.28 131.17 57.64°
Positions (direct):
1 Rh 0.978 0.978 0.000
2 Rh 0.742 0.242 0.500
3 Tc 0.527 0.527 0.000
4 Ag 0.253 0.753 0.500



[28]
Below is an optimized crystal structure of TcAgRh2, with properties calculated at the PBE level.

Computed properties:
Formation enthalpy at 0 K ... 0.329 eV per atom
Distance to the lowest polymorph of the same formula ... 311 meV per atom

Cell: 2.697 2.697 9.532 Å, 90.00 90.00 117.72°
Site moments in Bohr magnetons follow the coordinates.
Positions (direct):
1 Ag 0.500 0.500 0.752  0.00
2 Rh 0.000 0.000 0.009  0.13
3 Rh 0.500 0.500 0.253  0.02
4 Tc 0.000 0.000 0.486  0.01



[29]
Below is an optimized crystal structure of TcAg2Rh, with properties calculated at the PBE level.

Computed properties:
Formation enthalpy at 0 K ... 0.340 eV per atom
Distance to the lowest polymorph of the same formula ... 175 meV per atom

Cell: 4.735 4.735 5.189 Å, 82.49 82.49 33.72°
Positions (direct):
1 Ag 0.001 0.001 0.013
2 Ag 0.248 0.248 0.236
3 Rh 0.497 0.497 0.540
4 Tc 0.754 0.754 0.712



[30]
Below is an optimized crystal structure of Ag3TeRh, with properties calculated at the PBE level.

Computed properties:
ΔE_f (raw) ... 0.902 eV/atom
Distance to the lowest polymorph of the same formula ... 0 meV per atom

Cell: 5.032 5.032 5.032 Å, 90.00 90.00 90.00°
Site moments in Bohr magnetons follow the coordinates.
Positions (direct):
1 Ag 0.500 0.000 0.000  0.01
2 Ag 0.000 0.500 0.000  0.05
3 Ag 0.000 0.000 0.500  0.07
4 Rh 0.000 0.000 0.000  0.82
5 Te 0.500 0.500 0.500  0.04